1.
Compound: Mg3SiPd2
Source: the Alexandria database
Functional: PBE
Structure: optimized geometry

Geometry as POSCAR:
```
Mg3SiPd2
1.0
-0.285 -2.224 -2.778
4.240 -0.214 -0.263
-1.950 -4.377 5.817
Mg Si Pd
3 1 2
direct
0.500 0.500 0.000
0.826 0.320 0.635
0.174 0.680 0.365
0.000 0.000 0.000
0.388 0.881 0.759
0.612 0.119 0.241
```

## Properties
Magnetization ... 0.000 μB per formula unit
Theoretical density ... 4.87 g cm⁻³
N(E_F) ... 1.96 states/eV/f.u.
Total DFT energy (no corrections) ... -23.4 eV for the cell shown
Raw formation energy ... -0.475 eV per atom

2.
Compound: MgSiPd6
Source: the Alexandria database
Functional: PBE
Structure: optimized geometry

Geometry as POSCAR:
```
MgSiPd6
1.0
-4.810 -3.009 3.973
-4.623 -4.775 -1.295
0.289 -4.130 2.286
Mg Si Pd
1 1 6
direct
0.500 0.500 0.500
0.000 0.000 0.000
0.041 0.364 0.810
0.794 0.943 0.640
0.515 0.257 0.155
0.206 0.057 0.360
0.959 0.636 0.190
0.485 0.743 0.845
```

## Properties
Magnetization ... 0.000 μB per formula unit
Relative energy among the computed polymorphs ... 17.7 meV per atom
Theoretical density ... 8.90 g cm⁻³
N(E_F) ... 2.38 states/eV/f.u.
Total DFT energy (no corrections) ... -41.5 eV for the cell shown
Raw formation energy ... -0.421 eV per atom